[1]
DFT (PBE) results for a geometry-optimized Sm2Al2PdPt5 structure.

Computed properties:
Space group = P4/mbm (127)
Magnetic moment = 0.000 μB per formula unit
E_form = -0.885 eV per atom

Unit cell a=3.7512 b=9.7998 c=9.7998 alpha=90.00 beta=90.00 gamma=90.00
With the nearest neighbours (Å) after each atom.
Positions (direct):
Al 0.0000 0.6201 0.8799  6 Pt 2.51-2.59, 1 Sm 2.78
Al 0.0000 0.3799 0.1201  6 Pt 2.51-2.59, 1 Sm 2.78
Al 0.0000 0.1201 0.6201  6 Pt 2.51-2.59, 1 Sm 2.78
Al 0.0000 0.8799 0.3799  6 Pt 2.51-2.59, 1 Sm 2.78
Pt 0.5000 0.7071 0.4367  2 Al 2.59, 2 Pd 2.83
Pt 0.5000 0.2929 0.5633  2 Al 2.59, 2 Pd 2.83
Pt 0.5000 0.5000 0.0000  4 Al 2.51
Pt 0.5000 0.7929 0.9367  2 Al 2.59, 2 Pd 2.83
Pt 0.5000 0.5633 0.7071  2 Al 2.59, 2 Pd 2.83
Pt 0.5000 0.0000 0.5000  4 Al 2.51
Pt 0.5000 0.4367 0.2929  2 Al 2.59, 2 Pd 2.83
Pt 0.5000 0.0633 0.7929  2 Al 2.59, 2 Pd 2.83
Pt 0.5000 0.9367 0.2071  2 Al 2.59, 2 Pd 2.83
Pt 0.5000 0.2071 0.0633  2 Al 2.59, 2 Pd 2.83
Sm 0.0000 0.3207 0.8207  3 Al 2.78-2.99, 2 Pt 3.11
Sm 0.0000 0.8207 0.6793  3 Al 2.78-2.99, 2 Pt 3.11
Sm 0.0000 0.1793 0.3207  3 Al 2.78-2.99, 2 Pt 3.11
Sm 0.0000 0.6793 0.1793  3 Al 2.78-2.99, 2 Pt 3.11
Pd 0.0000 0.5000 0.5000  8 Pt 2.83
Pd 0.0000 0.0000 0.0000  8 Pt 2.83

---

[2]
DFT (PBE) results for a geometry-optimized NaSm2Er3Te6 structure.

Computed properties:
Raw formation energy = -15.72 eV/f.u.
Space group = C2/m (12)
Magnetic moment = 0.000 μB per formula unit

Unit cell a=4.3565 b=8.8578 c=9.8639 alpha=103.56 beta=102.76 gamma=90.00
With the nearest neighbours (Å) after each atom.
Positions (direct):
Er 0.8337 0.1718 0.6675  6 Te 3.01-3.10
Er 0.5000 0.5000 0.0000  6 Te 3.02-3.07
Er 0.1663 0.8282 0.3325  6 Te 3.01-3.10
Sm 0.1719 0.3465 0.3438  6 Te 3.11-3.22
Sm 0.8281 0.6535 0.6562  6 Te 3.11-3.22
Na 0.5000 0.0000 0.0000  6 Te 3.14-3.15
Te 0.0002 0.7451 0.0005  3 Er 3.07-3.10, 2 Na 3.14, 1 Sm 3.22
Te 0.3314 0.9216 0.6627  3 Er 3.08-3.10, 1 Na 3.15, 2 Sm 3.21
Te 0.6619 0.5909 0.3239  3 Er 3.01-3.02, 3 Sm 3.11
Te 0.3381 0.4091 0.6761  3 Er 3.01-3.02, 3 Sm 3.11
Te 0.6686 0.0784 0.3373  3 Er 3.08-3.10, 1 Na 3.15, 2 Sm 3.21
Te 0.9998 0.2549 0.9995  3 Er 3.07-3.10, 2 Na 3.14, 1 Sm 3.22

---

[3]
DFT (PBE) results for a geometry-optimized CaLaRe structure.

Computed properties:
Space group = I4mm (107)
Magnetic moment = 0.001 μB per formula unit
E_form = 0.510 eV per atom

Unit cell a=7.4025 b=7.4025 c=7.4025 alpha=152.56 beta=152.56 gamma=39.19
With the nearest neighbours (Å) after each atom.
Positions (direct):
Re 0.6722 0.6722 0.0000  4 La 2.96, 4 Ca 3.09
Ca 0.0403 0.0403 0.0000  4 Re 3.09, 1 La 3.45
La 0.2875 0.2875 0.0000  4 Re 2.96

---

[4]
DFT (PBE) results for a geometry-optimized Rb2ZnCd2 structure.

Computed properties:
Space group = P4/mbm (127)
Magnetic moment = 0.000 μB per formula unit
E_form = 0.079 eV per atom

Unit cell a=7.8059 b=7.8059 c=6.0469 alpha=90.00 beta=90.00 gamma=90.00
With the nearest neighbours (Å) after each atom.
Positions (direct):
Cd 0.3603 0.8603 0.0000  2 Zn 3.02, 1 Cd 3.08
Cd 0.1397 0.3603 0.0000  2 Zn 3.02, 1 Cd 3.08
Cd 0.8603 0.6397 0.0000  2 Zn 3.02, 1 Cd 3.08
Cd 0.6397 0.1397 0.0000  2 Zn 3.02, 1 Cd 3.08
Rb 0.3211 0.1789 0.5000  6 Cd 3.63-3.93, 5 Rb 3.95-4.06
Rb 0.1789 0.6789 0.5000  6 Cd 3.63-3.93, 5 Rb 3.95-4.06
Rb 0.6789 0.8211 0.5000  6 Cd 3.63-3.93, 5 Rb 3.95-4.06
Rb 0.8211 0.3211 0.5000  6 Cd 3.63-3.93, 5 Rb 3.95-4.06
Zn 0.5000 0.5000 0.0000  4 Cd 3.02
Zn 0.0000 0.0000 0.0000  4 Cd 3.02

---

[5]
DFT (PBE) results for a geometry-optimized Pm2U2PaRu5 structure.

Computed properties:
Space group = P4/mbm (127)
Magnetic moment = 0.000 μB per formula unit
E_form = -0.291 eV per atom

Unit cell a=3.6387 b=10.5744 c=10.5744 alpha=90.00 beta=90.00 gamma=90.00
With the nearest neighbours (Å) after each atom.
Positions (direct):
Pa 0.0000 0.5000 0.5000  8 Ru 2.84
Pa 0.0000 0.0000 0.0000  8 Ru 2.84
U 0.0000 0.3665 0.1335  6 Ru 2.68-2.70, 1 Pm 2.83
U 0.0000 0.8665 0.3665  6 Ru 2.68-2.70, 1 Pm 2.83
U 0.0000 0.1335 0.6335  6 Ru 2.68-2.70, 1 Pm 2.83
U 0.0000 0.6335 0.8665  6 Ru 2.68-2.70, 1 Pm 2.83
Ru 0.5000 0.9484 0.1993  2 U 2.68, 2 Pa 2.84
Ru 0.5000 0.5516 0.6993  2 U 2.68, 2 Pa 2.84
Ru 0.5000 0.1993 0.0516  2 U 2.68, 2 Pa 2.84
Ru 0.5000 0.0000 0.5000  4 U 2.70
Ru 0.5000 0.5000 0.0000  4 U 2.70
Ru 0.5000 0.8007 0.9484  2 U 2.68, 2 Pa 2.84
Ru 0.5000 0.4484 0.3007  2 U 2.68, 2 Pa 2.84
Ru 0.5000 0.6993 0.4484  2 U 2.68, 2 Pa 2.84
Ru 0.5000 0.3007 0.5516  2 U 2.68, 2 Pa 2.84
Ru 0.5000 0.0516 0.8007  2 U 2.68, 2 Pa 2.84
Pm 0.0000 0.1771 0.3229  1 U 2.83
Pm 0.0000 0.3229 0.8229  1 U 2.83
Pm 0.0000 0.6771 0.1771  1 U 2.83
Pm 0.0000 0.8229 0.6771  1 U 2.83

---

[6]
DFT (PBE) results for a geometry-optimized BeNb3As structure.

Computed properties:
Space group = Pm-3m (221)
Magnetic moment = 0.000 μB per formula unit
E_form = 0.449 eV per atom

Unit cell a=4.4009 b=4.4009 c=4.4009 alpha=90.00 beta=90.00 gamma=90.00
With the nearest neighbours (Å) after each atom.
Positions (direct):
Be 0.0000 0.0000 0.0000  6 Nb 2.20
Nb 0.5000 0.0000 0.0000  2 Be 2.20
Nb 0.0000 0.0000 0.5000  2 Be 2.20
Nb 0.0000 0.5000 0.0000  2 Be 2.20
As 0.5000 0.5000 0.5000  12 Nb 3.11

---

[7]
DFT (PBE) results for a geometry-optimized CeDyHgIr structure.

Computed properties:
Space group = R3m (160)
Magnetic moment = 0.434 μB per formula unit
E_form = -0.591 eV per atom

Unit cell a=4.0793 b=4.0799 c=7.8836 alpha=90.00 beta=105.00 gamma=120.00
With the nearest neighbours (Å) after each atom.
Positions (direct):
Ce 0.1007 0.9483 0.0644  3 Ir 2.78
Ir 0.3034 0.5496 0.8683  3 Ce 2.78, 3 Dy 2.81
Dy 0.5011 0.1485 0.6647  3 Ir 2.81
Hg 0.9728 0.3844 0.3723  3 Dy 3.22, 3 Ce 3.30

---

[8]
DFT (PBE) results for a geometry-optimized AlSb2Mo structure.

Computed properties:
Raw formation energy = 2.45 eV/f.u.
Space group = F-43m (216)
Magnetic moment = 0.001 μB per formula unit

Unit cell a=4.8735 b=4.8735 c=4.8735 alpha=60.00 beta=60.00 gamma=60.00
With the nearest neighbours (Å) after each atom.
Positions (direct):
Mo 0.7500 0.7500 0.7500  4 Al 2.98, 4 Sb 2.98
Sb 0.0000 0.0000 0.0000  4 Mo 2.98, 4 Sb 2.98
Sb 0.2500 0.2500 0.2500  4 Sb 2.98, 4 Al 2.98
Al 0.5000 0.5000 0.5000  4 Sb 2.98, 4 Mo 2.98

---

| no. | Fermi-level density of states (states/eV/f.u.) |
| --- | --- |
| 1 | 3.34 |
| 2 | 3.88 |
| 3 | 4.67 |
| 4 | 2.88 |
| 5 | 10.62 |
| 6 | 10.86 |
| 7 | 5.74 |
| 8 | 3.70 |